(1)
Below is a crystal of SnAsCl2 relaxed with PBEsol, with properties calculated at the meta-GGA SCAN level.

Its energy relative to the elements, uncorrected is -0.052 eV per atom.

a b c (Å): 3.2370 3.2370 28.9374
angles (deg): 90.00 90.00 120.00
Space group R-3m (No. 166, hexagonal axes)
Symmetry-distinct sites (fractional):
Sn 0.0000 0.0000 0.0000 (multiplicity 3)
As 0.0000 0.0000 0.5000 (multiplicity 3)
Cl 0.0000 0.0000 0.0922 (multiplicity 6)

***

(2)
Below is a crystal of Sr2TiMnO6 relaxed with PBEsol, with properties calculated at the meta-GGA SCAN level.

The relative energy among the computed polymorphs comes out at 0.564 kcal/mol of atoms. Its energy relative to the elements, uncorrected is -3.073 eV per atom.

a b c (Å): 3.8535 3.8535 7.6401
angles (deg): 90.00 90.00 90.00
Space group P4/mmm (No. 123)
Symmetry-distinct sites (fractional):
Sr 0.0000 0.0000 0.2434 (multiplicity 2)
Ti 0.5000 0.5000 0.5000 (multiplicity 1)
Mn 0.5000 0.5000 0.0000 (multiplicity 1)
O 0.0000 0.5000 0.0000 (multiplicity 2)
O 0.0000 0.5000 0.5000 (multiplicity 2)
O 0.5000 0.5000 0.2437 (multiplicity 2)

***

(3)
Below is a crystal of LiTa3Sb relaxed with PBEsol, with properties calculated at the meta-GGA SCAN level.

Its energy relative to the elements, uncorrected is 0.958 eV per atom.

a b c (Å): 4.4157 4.4157 4.4157
angles (deg): 90.00 90.00 90.00
Space group Pm-3m (No. 221)
Symmetry-distinct sites (fractional):
Li 0.0000 0.0000 0.0000 (multiplicity 1)
Ta 0.0000 0.0000 0.5000 (multiplicity 3)
Sb 0.5000 0.5000 0.5000 (multiplicity 1)

***

(4)
Below is a crystal of ZrTaAu relaxed with PBEsol, with properties calculated at the meta-GGA SCAN level.

The relative energy among the computed polymorphs comes out at 6.009 kcal/mol of atoms. The value obtained for the calculated formation energy is -0.016 eV per atom.

a b c (Å): 4.8033 4.8033 2.7991
angles (deg): 90.00 90.00 120.00
Space group P-6m2 (No. 187)
Symmetry-distinct sites (fractional):
Zr 0.0000 0.0000 0.0000 (multiplicity 1)
Ta 0.3333 0.6667 0.5000 (multiplicity 1)
Au 0.6667 0.3333 0.5000 (multiplicity 1)

***

(5)
Below is a crystal of CsBSb2I relaxed with PBEsol, with properties calculated at the meta-GGA SCAN level.

Its energy relative to the elements, uncorrected is 0.354 eV per atom.

a b c (Å): 4.8344 4.8344 7.2475
angles (deg): 90.00 90.00 90.00
Space group P4/mmm (No. 123)
Symmetry-distinct sites (fractional):
Cs 0.0000 0.0000 0.0000 (multiplicity 1)
B 0.5000 0.5000 0.5000 (multiplicity 1)
Sb 0.0000 0.5000 0.5000 (multiplicity 2)
I 0.5000 0.5000 0.0000 (multiplicity 1)

***

(6)
Below is a crystal of Zr2BeAg relaxed with PBEsol, with properties calculated at the meta-GGA SCAN level.

The value obtained for the calculated formation energy is 0.035 eV per atom.

a b c (Å): 4.1610 4.1610 8.0553
angles (deg): 90.00 90.00 90.00
Space group I4/mmm (No. 139)
Symmetry-distinct sites (fractional):
Zr 0.0000 0.5000 0.2500 (multiplicity 4)
Be 0.0000 0.0000 0.0000 (multiplicity 2)
Ag 0.0000 0.0000 0.5000 (multiplicity 2)